Entry one
This record from the Alexandria database describes a relaxed structure of Bi3Au4. The functional is PBE.

The structure belongs to space group P2_1/m (No. 11); the cell edges are 4.2879, 14.3448 and 5.8587 Å and the angles 90.00°, 110.63° and 90.00°. The distinct sites, in fractional coordinates, are Bi at (0.0225, 0.2500, 0.0504), Bi at (0.2925, 0.0998, 0.6052), Au at (0.0000, 0.0000, 0.0000), Au at (0.2445, 0.7500, 0.4699) and Au at (0.4119, 0.6042, 0.8176).

Entry two
This record from the Alexandria database describes a relaxed structure of Bi3Au4. The functional is PBE.

The structure belongs to space group Immm (No. 71); the cell edges are 3.5921, 3.9955 and 22.7386 Å and the angles 90.00°, 90.00° and 90.00°. The distinct sites, in fractional coordinates, are Bi at (0.0000, 0.0000, 0.0000), Bi at (0.0000, 0.0000, 0.1482), Au at (0.0000, 0.0000, 0.2800) and Au at (0.0000, 0.0000, 0.4265).

Stability summary - winner: entry one; margin: 75 meV per atom.

Entry one
This record from the Alexandria database describes a relaxed structure of Bi3Au. The functional is PBE.

The structure belongs to space group P2_1/m (No. 11); the cell edges are 6.5529, 4.0666 and 9.0711 Å and the angles 90.00°, 102.85° and 90.00°. The distinct sites, in fractional coordinates, are Bi at (0.1005, 0.2500, 0.3025), Bi at (0.2951, 0.7500, 0.0558), Bi at (0.3382, 0.7500, 0.5914) and Au at (0.2545, 0.2500, 0.8172).

Entry two
This record from the Alexandria database describes a relaxed structure of Bi3Au. The functional is PBE.

The structure belongs to space group Pmm2 (No. 25); the cell edges are 3.3689, 3.6022 and 9.7861 Å and the angles 90.00°, 90.00° and 90.00°. The distinct sites, in fractional coordinates, are Bi at (0.0000, 0.0000, 0.0000), Bi at (0.0000, 0.5000, 0.2881), Bi at (0.5000, 0.5000, 0.7108) and Au at (0.5000, 0.0000, 0.4788).

Stability summary - winner: entry one; margin: 44 meV per atom.

Entry one
This record from the Alexandria database describes a relaxed structure of Bi3Au. The functional is PBE.

The structure belongs to space group P4/mmm (No. 123); the cell edges are 3.2274, 3.2274 and 12.2200 Å and the angles 90.00°, 90.00° and 90.00°. The distinct sites, in fractional coordinates, are Bi at (0.0000, 0.0000, 0.0000), Bi at (0.0000, 0.0000, 0.2699) and Au at (0.0000, 0.0000, 0.5000).

Entry two
This record from the Alexandria database describes a relaxed structure of Bi3Au. The functional is PBE.

The structure belongs to space group Pm-3m (No. 221); the cell edges are 4.8367, 4.8367 and 4.8367 Å and the angles 90.00°, 90.00° and 90.00°. The distinct sites, in fractional coordinates, are Bi at (0.0000, 0.0000, 0.5000) and Au at (0.5000, 0.5000, 0.5000).

Entry three
This record from the Alexandria database describes a relaxed structure of Bi3Au. The functional is PBE.

The structure belongs to space group I4/mmm (No. 139); the cell edges are 4.9828, 4.9828 and 9.1324 Å and the angles 90.00°, 90.00° and 90.00°. The distinct sites, in fractional coordinates, are Bi at (0.0000, 0.0000, 0.0000), Bi at (0.0000, 0.5000, 0.2500) and Au at (0.0000, 0.0000, 0.5000).

Stability summary - winner: entry one; margin: 6 meV per atom.

Entry one
This record from the Alexandria database describes a relaxed structure of BiAu6. The functional is PBE.

The structure belongs to space group Pnma (No. 62); the cell edges are 9.4122, 5.6483 and 10.8417 Å and the angles 90.00°, 90.00° and 90.00°. The distinct sites, in fractional coordinates, are Bi at (0.2318, 0.2500, 0.0626), Au at (0.0519, 0.0041, 0.3036), Au at (0.0586, 0.7500, 0.0641), Au at (0.1304, 0.2500, 0.5260), Au at (0.1715, 0.7500, 0.8254) and Au at (0.1914, 0.2500, 0.7859).

Entry two
This record from the Alexandria database describes a relaxed structure of BiAu6. The functional is PBE.

The structure belongs to space group Im-3m (No. 229); the cell edges are 7.4194, 7.4194 and 7.4194 Å and the angles 90.00°, 90.00° and 90.00°. The distinct sites, in fractional coordinates, are Bi at (0.0000, 0.0000, 0.0000) and Au at (0.0000, 0.2500, 0.5000).

Stability summary - winner: entry one; margin: 633 meV per atom.

Entry one
This record from the Alexandria database describes a relaxed structure of Bi2Au2Br. The functional is PBE.

The structure belongs to space group P4/mbm (No. 127); the cell edges are 8.5555, 8.5555 and 3.5758 Å and the angles 90.00°, 90.00° and 90.00°. The distinct sites, in fractional coordinates, are Bi at (0.1866, 0.3134, 0.0000), Au at (0.1167, 0.6167, 0.5000) and Br at (0.0000, 0.0000, 0.0000).

Entry two
This record from the Alexandria database describes a relaxed structure of Bi2Au2Br. The functional is PBE.

The structure belongs to space group I4/mmm (No. 139); the cell edges are 4.0896, 4.0896 and 16.0215 Å and the angles 90.00°, 90.00° and 90.00°. The distinct sites, in fractional coordinates, are Bi at (0.0000, 0.0000, 0.1166), Au at (0.0000, 0.5000, 0.2500) and Br at (0.0000, 0.0000, 0.5000).

Entry three
This record from the Alexandria database describes a relaxed structure of Bi2Au2Br. The functional is PBE.

The structure belongs to space group P4/mbm (No. 127); the cell edges are 8.5479, 8.5479 and 3.5007 Å and the angles 90.00°, 90.00° and 90.00°. The distinct sites, in fractional coordinates, are Bi at (0.1756, 0.3244, 0.0000), Au at (0.1217, 0.6217, 0.5000) and Br at (0.0000, 0.0000, 0.5000).

Stability summary - winner: entry two; margin: 21 meV per atom.

Entry one
This record from the Alexandria database describes a relaxed structure of BiAu3Br. The functional is PBE.

The structure belongs to space group Pm-3m (No. 221); the cell edges are 5.1519, 5.1519 and 5.1519 Å and the angles 90.00°, 90.00° and 90.00°. The distinct sites, in fractional coordinates, are Bi at (0.0000, 0.0000, 0.0000), Au at (0.0000, 0.5000, 0.5000) and Br at (0.5000, 0.5000, 0.5000).

Entry two
This record from the Alexandria database describes a relaxed structure of BiAu3Br. The functional is PBE.

The structure belongs to space group Pm-3m (No. 221); the cell edges are 5.4036, 5.4036 and 5.4036 Å and the angles 90.00°, 90.00° and 90.00°. The distinct sites, in fractional coordinates, are Bi at (0.0000, 0.0000, 0.0000), Au at (0.0000, 0.0000, 0.5000) and Br at (0.5000, 0.5000, 0.5000).

Stability summary - winner: entry two; margin: 278 meV per atom.